Here is crystalline MgCuP2S at its relaxed geometry from Alexandria via LeMat-Bulk. Energies are from GGA-PBEsol.

Values from the calculation:
* ΔE_f (raw): 1067 meV per atom

Cell and atoms, written as CIF:
```
data_MgCuP2S
_cell_length_a 4.694
_cell_length_b 4.694
_cell_length_c 4.630
_cell_angle_alpha 90.00
_cell_angle_beta 90.00
_cell_angle_gamma 90.00
_space_group_name_H-M_alt 'P 4/m m m'
_space_group_IT_number 123
_space_group_name_Hall '-P 4 2'
loop_
_atom_site_label
_atom_site_fract_x
_atom_site_fract_y
_atom_site_fract_z
_atom_site_occupancy
Mg1 0.000 0.000 0.000 1
Cu1 0.500 0.500 0.500 1
P1 0.000 0.500 0.000 1
S1 0.000 0.000 0.500 1
```



Here is crystalline MgCuPS2 at its relaxed geometry from Alexandria via LeMat-Bulk. Energies are from GGA-PBEsol.

Values from the calculation:
* ΔE_f (raw): 250 meV per atom

Cell and atoms, written as CIF:
```
data_MgCuPS2
_cell_length_a 4.694
_cell_length_b 4.694
_cell_length_c 4.199
_cell_angle_alpha 90.00
_cell_angle_beta 90.00
_cell_angle_gamma 90.00
_space_group_name_H-M_alt 'P 4/m m m'
_space_group_IT_number 123
_space_group_name_Hall '-P 4 2'
loop_
_atom_site_label
_atom_site_fract_x
_atom_site_fract_y
_atom_site_fract_z
_atom_site_occupancy
Mg1 0.000 0.000 0.000 1
Cu1 0.500 0.500 0.500 1
P1 0.500 0.500 0.000 1
S1 0.000 0.500 0.500 1
```



Here is crystalline Mg2CuPb at its relaxed geometry from Alexandria via LeMat-Bulk. Energies are from GGA-PBEsol.

Values from the calculation:
* energy relative to the elements: 0.063 eV/atom

Cell and atoms, written as CIF:
```
data_Mg2CuPb
_cell_length_a 3.567
_cell_length_b 3.567
_cell_length_c 6.352
_cell_angle_alpha 90.00
_cell_angle_beta 90.00
_cell_angle_gamma 90.00
_space_group_name_H-M_alt 'P 4 m m'
_space_group_IT_number 99
_space_group_name_Hall 'P 4 -2'
loop_
_atom_site_label
_atom_site_fract_x
_atom_site_fract_y
_atom_site_fract_z
_atom_site_occupancy
Mg1 0.000 0.000 0.000 1
Mg2 0.500 0.500 0.267 1
Cu1 0.500 0.500 0.824 1
Pb1 0.000 0.000 0.548 1
```



Here is crystalline Mg2CuPb at its relaxed geometry from Alexandria via LeMat-Bulk. Energies are from GGA-PBEsol.

Values from the calculation:
* energy relative to the elements: 0.067 eV/atom

Cell and atoms, written as CIF:
```
data_Mg2CuPb
_cell_length_a 4.243
_cell_length_b 4.243
_cell_length_c 8.778
_cell_angle_alpha 90.00
_cell_angle_beta 90.00
_cell_angle_gamma 90.00
_space_group_name_H-M_alt 'I -4 m 2'
_space_group_IT_number 119
_space_group_name_Hall 'I -4 -2'
loop_
_atom_site_label
_atom_site_fract_x
_atom_site_fract_y
_atom_site_fract_z
_atom_site_occupancy
Mg1 0.000 0.000 0.000 1
Mg2 0.000 0.500 0.250 1
Cu1 0.000 0.500 0.750 1
Pb1 0.000 0.000 0.500 1
```



Here is crystalline Mg2CuPb at its relaxed geometry from Alexandria via LeMat-Bulk. Energies are from GGA-PBEsol.

Values from the calculation:
* energy relative to the elements: -0.039 eV/atom

Cell and atoms, written as CIF:
```
data_Mg2CuPb
_cell_length_a 3.230
_cell_length_b 3.230
_cell_length_c 7.718
_cell_angle_alpha 90.00
_cell_angle_beta 90.00
_cell_angle_gamma 90.00
_space_group_name_H-M_alt 'P 4/m m m'
_space_group_IT_number 123
_space_group_name_Hall '-P 4 2'
loop_
_atom_site_label
_atom_site_fract_x
_atom_site_fract_y
_atom_site_fract_z
_atom_site_occupancy
Mg1 0.000 0.000 0.193 1
Cu1 0.500 0.500 0.000 1
Pb1 0.500 0.500 0.500 1
```



Here is crystalline MgCu2Pb at its relaxed geometry from Alexandria via LeMat-Bulk. Energies are from GGA-PBEsol.

Values from the calculation:
* energy relative to the elements: 0.126 eV/atom

Cell and atoms, written as CIF:
```
data_MgCu2Pb
_cell_length_a 5.988
_cell_length_b 6.016
_cell_length_c 3.729
_cell_angle_alpha 90.00
_cell_angle_beta 90.00
_cell_angle_gamma 90.00
_space_group_name_H-M_alt 'C m m m'
_space_group_IT_number 65
_space_group_name_Hall '-C 2 2'
loop_
_atom_site_label
_atom_site_fract_x
_atom_site_fract_y
_atom_site_fract_z
_atom_site_occupancy
Mg1 0.000 0.000 0.000 1
Cu1 0.250 0.250 0.500 1
Pb1 0.000 0.500 0.000 1
```